1.
Compound: LiNdGa4Ir2
Source: Alexandria
Functional: PBE
Structure: relaxed

CIF file:
```
data_LiNdGa4Ir2
_chemical_formula_sum 'Li3 Nd3 Ga12 Ir6'
_symmetry_space_group_name_H-M 'R -3 m'
_symmetry_Int_Tables_number 166
_symmetry_space_group_name_Hall '-R 3 2"'
_cell_length_a 4.2885
_cell_length_b 4.2885
_cell_length_c 25.8294
_cell_angle_alpha 90.00
_cell_angle_beta 90.00
_cell_angle_gamma 120.00
loop_
_atom_site_label
_atom_site_type_symbol
_atom_site_fract_x
_atom_site_fract_y
_atom_site_fract_z
_atom_site_occupancy
Li1 Li 0.0000 0.0000 0.0000 1
Nd1 Nd 0.0000 0.0000 0.5000 1
Ga1 Ga 0.0000 0.0000 0.0978 1
Ga2 Ga 0.0000 0.0000 0.3678 1
Ir1 Ir 0.0000 0.0000 0.2654 1
```

Computed properties:
Crystal system = trigonal

***

2.
Compound: LiGa4NiIr2
Source: Alexandria
Functional: PBE
Structure: relaxed

CIF file:
```
data_LiGa4NiIr2
_chemical_formula_sum 'Li3 Ga12 Ni3 Ir6'
_symmetry_space_group_name_H-M 'R -3 m'
_symmetry_Int_Tables_number 166
_symmetry_space_group_name_Hall '-R 3 2"'
_cell_length_a 4.2686
_cell_length_b 4.2686
_cell_length_c 21.0667
_cell_angle_alpha 90.00
_cell_angle_beta 90.00
_cell_angle_gamma 120.00
loop_
_atom_site_label
_atom_site_type_symbol
_atom_site_fract_x
_atom_site_fract_y
_atom_site_fract_z
_atom_site_occupancy
Li1 Li 0.0000 0.0000 0.0000 1
Ga1 Ga 0.0000 0.0000 0.1258 1
Ga2 Ga 0.0000 0.0000 0.3751 1
Ni1 Ni 0.0000 0.0000 0.5000 1
Ir1 Ir 0.0000 0.0000 0.2489 1
```

Computed properties:
Crystal system = trigonal

***

3.
Compound: Li2Ga2Ni2Ir
Source: Alexandria
Functional: PBE
Structure: relaxed

CIF file:
```
data_Li2Ga2Ni2Ir
_chemical_formula_sum 'Li4 Ga4 Ni4 Ir2'
_symmetry_space_group_name_H-M 'C 1 2/m 1'
_symmetry_Int_Tables_number 12
_cell_length_a 7.2105
_cell_length_b 4.1564
_cell_length_c 6.4268
_cell_angle_alpha 90.00
_cell_angle_beta 111.73
_cell_angle_gamma 90.00
loop_
_symmetry_equiv_pos_as_xyz
'x,y,z'
'-x,-y,-z'
'-x,y,-z'
'x,-y,z'
'x+1/2,y+1/2,z'
'-x+1/2,-y+1/2,-z'
'-x+1/2,y+1/2,-z'
'x+1/2,-y+1/2,z'
loop_
_atom_site_label
_atom_site_type_symbol
_atom_site_fract_x
_atom_site_fract_y
_atom_site_fract_z
_atom_site_occupancy
Li1 Li 0.0711 0.0000 0.2112 1
Ga1 Ga 0.2227 0.0000 0.6699 1
Ni1 Ni 0.1415 0.5000 0.9273 1
Ir1 Ir 0.0000 0.5000 0.5000 1
```

Computed properties:
Crystal system = monoclinic

***

4.
Compound: LiNpGaIr
Source: Alexandria
Functional: PBE
Structure: relaxed

CIF file:
```
data_LiNpGaIr
_chemical_formula_sum 'Li4 Np4 Ga4 Ir4'
_symmetry_space_group_name_H-M 'F -4 3 m'
_symmetry_Int_Tables_number 216
_symmetry_space_group_name_Hall 'F -4 2 3'
_cell_length_a 6.5385
_cell_length_b 6.5385
_cell_length_c 6.5385
_cell_angle_alpha 90.00
_cell_angle_beta 90.00
_cell_angle_gamma 90.00
loop_
_atom_site_label
_atom_site_type_symbol
_atom_site_fract_x
_atom_site_fract_y
_atom_site_fract_z
_atom_site_occupancy
Li1 Li 0.0000 0.0000 0.0000 1
Np1 Np 0.2500 0.2500 0.2500 1
Ga1 Ga 0.2500 0.2500 0.7500 1
Ir1 Ir 0.0000 0.0000 0.5000 1
```

Computed properties:
Crystal system = cubic

***

Number 1: calculated formation energy -0.58 eV/atom. Number 2: calculated formation energy -0.44 eV/atom. Number 3: calculated formation energy -0.33 eV/atom. Number 4: calculated formation energy -0.20 eV/atom.